A relaxed Pr4RhSeBr2 crystal, computed with PBE-GGA.

abc: 7.6558 4.1144 7.8266
angles: 90.00 107.32 90.00
Last column: nearest neighbours and their distance in Å.
Atoms (fractional coordinates):
Pr1 0.2129 0.0000 0.2039  2 Rh 2.81, 1 Se 3.08
Pr2 0.2559 0.5000 0.7864  1 Rh 2.93, 2 Se 2.94, 2 Br 3.24
Pr3 0.7441 0.5000 0.2136  1 Rh 2.93, 2 Se 2.94, 2 Br 3.24
Pr4 0.7871 0.0000 0.7961  2 Rh 2.81, 1 Se 3.08
Rh1 0.0000 0.5000 0.0000  6 Pr 2.81-2.93
Se1 0.5000 0.0000 0.0000  6 Pr 2.94-3.08
Br1 0.0000 0.0000 0.5000  6 Pr 3.21-3.24
Br2 0.5000 0.5000 0.5000  6 Pr 3.32-3.38

Volume ... 235 Å³/f.u.
SG ... P2/m (10)
Magnetization ... 0.00 Bohr magnetons per cell
Crystal system ... monoclinic
E ... -43.3 eV per cell
ΔE_f (raw) ... -1253 meV per atom

***

A relaxed Sr2PrH6Ru crystal, computed with PBE-GGA.

abc: 5.3665 5.3665 6.2665
angles: 90.00 90.00 120.00
Last column: nearest neighbours and their distance in Å.
Atoms (fractional coordinates):
Sr1 0.3333 0.6667 0.1649  9 H 2.68-2.69
Sr2 0.6667 0.3333 0.8351  9 H 2.68-2.69
Pr1 0.0000 0.0000 0.5000  6 H 2.52
H1 0.1508 0.3016 0.8344  1 Ru 1.74
H2 0.1508 0.8492 0.8344  1 Ru 1.74
H3 0.3016 0.1508 0.1656  1 Ru 1.74
H4 0.6984 0.8492 0.8344  1 Ru 1.74
H5 0.8492 0.1508 0.1656  1 Ru 1.74
H6 0.8492 0.6984 0.1656  1 Ru 1.74
Ru1 0.0000 0.0000 0.0000  6 H 1.74

Volume ... 156 Å³/f.u.
SG ... P-3m1 (164)
Magnetization ... 0.00 Bohr magnetons per cell
Crystal system ... trigonal
E ... -41.8 eV per cell

***

A relaxed SrZrPb2 crystal, computed with PBE-GGA.

abc: 5.0315 5.0780 8.9396
angles: 90.00 90.00 90.00
Last column: nearest neighbours and their distance in Å.
Atoms (fractional coordinates):
Sr1 0.0000 0.0000 0.0000  8 Pb 3.37-3.38, 4 Zr 3.57
Sr2 0.5000 0.5000 0.5000  8 Pb 3.37-3.38, 4 Zr 3.57
Zr1 0.0000 0.0000 0.5000  8 Pb 3.36-3.39, 4 Sr 3.57
Zr2 0.5000 0.5000 0.0000  8 Pb 3.36-3.39, 4 Sr 3.57
Pb1 0.0000 0.5000 0.2495  4 Zr 3.36-3.39, 4 Sr 3.37-3.38, 4 Pb 3.57
Pb2 0.0000 0.5000 0.7505  4 Zr 3.36-3.39, 4 Sr 3.37-3.38, 4 Pb 3.57
Pb3 0.5000 0.0000 0.2505  4 Zr 3.36-3.39, 4 Sr 3.37-3.38, 4 Pb 3.57
Pb4 0.5000 0.0000 0.7495  4 Zr 3.36-3.39, 4 Sr 3.37-3.38, 4 Pb 3.57

Volume ... 114 Å³/f.u.
Energy relative to the elements ... -105 meV/atom
SG ... Immm (71)
Magnetization ... 2.60 Bohr magnetons per cell
Crystal system ... orthorhombic
E ... -36.1 eV per cell

***

A relaxed AlTl4Te4 crystal, computed with PBE-GGA.

abc: 9.6125 9.6125 7.0026
angles: 90.00 90.00 90.00
Last column: nearest neighbours and their distance in Å.
Atoms (fractional coordinates):
Al1 0.2500 0.7500 0.2500  4 Te 2.65
Al2 0.7500 0.2500 0.7500  4 Te 2.65
Tl1 0.0134 0.2500 0.0753  6 Te 3.33-3.69, 1 Al 3.41
Tl2 0.2500 0.0134 0.5753  6 Te 3.33-3.69, 1 Al 3.41
Tl3 0.2500 0.4866 0.5753  6 Te 3.33-3.69, 1 Al 3.41
Tl4 0.4866 0.2500 0.0753  6 Te 3.33-3.69, 1 Al 3.41
Tl5 0.5134 0.7500 0.9247  6 Te 3.33-3.69, 1 Al 3.41
Tl6 0.7500 0.5134 0.4247  6 Te 3.33-3.69, 1 Al 3.41
Tl7 0.7500 0.9866 0.4247  6 Te 3.33-3.69, 1 Al 3.41
Tl8 0.9866 0.7500 0.9247  6 Te 3.33-3.69, 1 Al 3.41
Te1 0.0164 0.7500 0.4506  1 Al 2.65
Te2 0.2500 0.5164 0.0494  1 Al 2.65
Te3 0.2500 0.9836 0.0494  1 Al 2.65
Te4 0.4836 0.7500 0.4506  1 Al 2.65
Te5 0.5164 0.2500 0.5494  1 Al 2.65
Te6 0.7500 0.0164 0.9506  1 Al 2.65
Te7 0.7500 0.4836 0.9506  1 Al 2.65
Te8 0.9836 0.2500 0.5494  1 Al 2.65

Volume ... 324 Å³/f.u.
SG ... P4_2/nmc (137)
Magnetization ... 0.00 Bohr magnetons per cell
Crystal system ... tetragonal
E ... -57.3 eV per cell
ΔE_f (raw) ... -317 meV per atom

***

A relaxed Ti6Al2Si crystal, computed with PBE-GGA.

abc: 7.4589 7.4589 4.3037
angles: 106.68 106.68 48.42
Last column: nearest neighbours and their distance in Å.
Atoms (fractional coordinates):
Ti1 0.0821 0.5893 0.3360  1 Si 2.60, 3 Al 2.65-2.66
Ti2 0.2430 0.7570 0.0000  2 Si 2.62, 2 Al 2.66
Ti3 0.4107 0.9179 0.6640  1 Si 2.60, 3 Al 2.65-2.66
Ti4 0.5893 0.0821 0.3360  1 Si 2.60, 3 Al 2.65-2.66
Ti5 0.7570 0.2430 0.0000  2 Si 2.62, 2 Al 2.66
Ti6 0.9179 0.4107 0.6640  1 Si 2.60, 3 Al 2.65-2.66
Al1 0.3342 0.3342 0.8345  8 Ti 2.65-2.66
Al2 0.6658 0.6658 0.1655  8 Ti 2.65-2.66
Si1 0.0000 0.0000 0.5000  8 Ti 2.60-2.62

Volume ... 170 Å³/f.u.
SG ... C2/m (12)
Magnetization ... 0.01 Bohr magnetons per cell
Crystal system ... monoclinic
E ... -59.5 eV per cell
ΔE_f (raw) ... 89 meV per atom

***

A relaxed BeTc2Te crystal, computed with PBE-GGA.

abc: 4.3063 4.3063 3.1801
angles: 90.00 90.00 90.00
Last column: nearest neighbours and their distance in Å.
Atoms (fractional coordinates):
Be1 0.0000 0.0000 0.0000  8 Tc 2.68
Tc1 0.0000 0.5000 0.5000  4 Te 2.68, 4 Be 2.68
Tc2 0.5000 0.0000 0.5000  4 Te 2.68, 4 Be 2.68
Te1 0.5000 0.5000 0.0000  8 Tc 2.68

Volume ... 59 Å³/f.u.
Energy above the lowest structure with this stoichiometry ... 208 meV per atom
SG ... P4/mmm (123)
Magnetization ... 0.00 Bohr magnetons per cell
Crystal system ... tetragonal
E ... -26.2 eV per cell
ΔE_f (raw) ... 340 meV per atom

***

A relaxed Hf2CoHg crystal, computed with PBE-GGA.

abc: 7.4549 7.4549 5.6385
angles: 90.00 90.00 90.00
Last column: nearest neighbours and their distance in Å.
Atoms (fractional coordinates):
Hf1 0.1952 0.7500 0.1250  2 Co 2.47
Hf2 0.2500 0.1952 0.8750  2 Co 2.47
Hf3 0.2500 0.3048 0.3750  2 Co 2.47
Hf4 0.3048 0.7500 0.6250  2 Co 2.47
Hf5 0.6952 0.2500 0.6250  2 Co 2.47
Hf6 0.7500 0.6952 0.3750  2 Co 2.47
Hf7 0.7500 0.8048 0.8750  2 Co 2.47
Hf8 0.8048 0.2500 0.1250  2 Co 2.47
Co1 0.0000 0.0000 0.0000  4 Hf 2.47
Co2 0.0000 0.5000 0.2500  4 Hf 2.47
Co3 0.5000 0.0000 0.7500  4 Hf 2.47
Co4 0.5000 0.5000 0.5000  4 Hf 2.47
Hg1 0.0000 0.0000 0.5000  2 Co 2.82, 4 Hf 3.02
Hg2 0.0000 0.5000 0.7500  2 Co 2.82, 4 Hf 3.02
Hg3 0.5000 0.0000 0.2500  2 Co 2.82, 4 Hf 3.02
Hg4 0.5000 0.5000 0.0000  2 Co 2.82, 4 Hf 3.02

Volume ... 78 Å³/f.u.
Energy relative to the elements ... 187 meV/atom
SG ... I-42d (122)
Magnetization ... 0.00 Bohr magnetons per cell
Crystal system ... tetragonal
E ... -106.3 eV per cell

***

A relaxed LaPr3Pb3 crystal, computed with PBE-GGA.

abc: 9.7126 9.7126 5.6456
angles: 90.00 90.00 120.00
Last column: nearest neighbours and their distance in Å.
Atoms (fractional coordinates):
La1 0.3333 0.6667 0.2500  9 Pb 3.54-3.65, 3 Pr 3.76
La2 0.6667 0.3333 0.7500  9 Pb 3.54-3.65, 3 Pr 3.76
Pr1 0.0024 0.7608 0.2500  4 Pb 3.20-3.41
Pr2 0.2392 0.2416 0.2500  4 Pb 3.20-3.41
Pr3 0.2416 0.0024 0.7500  4 Pb 3.20-3.41
Pr4 0.7584 0.9976 0.2500  4 Pb 3.20-3.41
Pr5 0.7608 0.7584 0.7500  4 Pb 3.20-3.41
Pr6 0.9976 0.2392 0.7500  4 Pb 3.20-3.41
Pb1 0.0762 0.6232 0.7500  4 Pr 3.20-3.41, 2 Pb 3.51, 1 La 3.54
Pb2 0.3768 0.4530 0.7500  4 Pr 3.20-3.41, 2 Pb 3.51, 1 La 3.54
Pb3 0.4530 0.0762 0.2500  4 Pr 3.20-3.41, 2 Pb 3.51, 1 La 3.54
Pb4 0.5470 0.9238 0.7500  4 Pr 3.20-3.41, 2 Pb 3.51, 1 La 3.54
Pb5 0.6232 0.5470 0.2500  4 Pr 3.20-3.41, 2 Pb 3.51, 1 La 3.54
Pb6 0.9238 0.3768 0.2500  4 Pr 3.20-3.41, 2 Pb 3.51, 1 La 3.54

Volume ... 231 Å³/f.u.
Energy relative to the elements ... -408 meV/atom
SG ... P6_3/m (176)
Magnetization ... 0.00 Bohr magnetons per cell
Crystal system ... hexagonal
E ... -66.5 eV per cell